(1)
CaCeBr4: relaxed, PBE.

a = 7.489 Å, b = 4.068 Å, c = 7.716 Å
α = 90.00°, β = 108.41°, γ = 90.00°
Element x y z (fractional)
Ca: 0.000 0.000 0.000
Ce: 0.000 0.500 0.500
Br: 0.229 0.500 0.236
Br: 0.242 0.000 0.767
Br: 0.758 0.000 0.233
Br: 0.771 0.500 0.764

Summary:
The calculation puts the total energy at -25.3 eV per cell. For the density of states at the Fermi level, the calculation gives 7.9 states/eV/cell. The energy relative to the elements, uncorrected is -1785 meV per atom. Its symmetry is P2/m, No. 10.

***

(2)
CaCeBr4: relaxed, PBE.

a = 9.666 Å, b = 9.666 Å, c = 14.252 Å
α = 125.69°, β = 125.69°, γ = 24.31°
Element x y z (fractional)
Ca: 0.249 0.751 0.750
Ca: 0.751 0.249 0.250
Ce: 0.000 0.500 0.000
Ce: 0.500 0.000 0.500
Br: 0.075 0.574 0.698
Br: 0.189 0.687 0.072
Br: 0.313 0.811 0.428
Br: 0.426 0.925 0.802
Br: 0.574 0.075 0.198
Br: 0.687 0.189 0.572
Br: 0.811 0.313 0.928
Br: 0.925 0.426 0.302

Summary:
The calculation puts the total energy at -50.7 eV per cell. For the density of states at the Fermi level, the calculation gives 15.5 states/eV/cell. The energy relative to the elements, uncorrected is -1785 meV per atom. Its symmetry is C2/c, No. 15.

***

(3)
Cs2CaCeBr6: relaxed, PBE.

a = 8.308 Å, b = 11.749 Å, c = 8.306 Å
α = 90.00°, β = 90.00°, γ = 90.00°
Element x y z (fractional)
Cs: 0.250 0.000 0.250
Cs: 0.250 0.500 0.250
Cs: 0.750 0.000 0.750
Cs: 0.750 0.500 0.750
Ca: 0.250 0.250 0.749
Ca: 0.750 0.750 0.251
Ce: 0.250 0.750 0.751
Ce: 0.750 0.250 0.249
Br: 0.004 0.250 0.503
Br: 0.004 0.250 0.994
Br: 0.250 0.004 0.750
Br: 0.250 0.496 0.750
Br: 0.496 0.250 0.503
Br: 0.496 0.250 0.994
Br: 0.504 0.750 0.006
Br: 0.504 0.750 0.497
Br: 0.750 0.504 0.250
Br: 0.750 0.996 0.250
Br: 0.996 0.750 0.006
Br: 0.996 0.750 0.497

Summary:
The calculation puts the total energy at -74.8 eV per cell. For the density of states at the Fermi level, the calculation gives 25.2 states/eV/cell. The energy relative to the elements, uncorrected is -1772 meV per atom. Its symmetry is Pmmn, No. 59.

***

(4)
CsCaCe2Br8: relaxed, PBE.

a = 7.097 Å, b = 7.384 Å, c = 9.248 Å
α = 90.10°, β = 90.19°, γ = 91.98°
Element x y z (fractional)
Cs: 0.000 0.000 0.000
Ca: 0.000 0.000 0.500
Ce: 0.500 0.500 0.267
Ce: 0.500 0.500 0.733
Br: 0.255 0.167 0.709
Br: 0.255 0.168 0.292
Br: 0.255 0.670 0.500
Br: 0.278 0.611 0.000
Br: 0.722 0.389 0.000
Br: 0.745 0.330 0.500
Br: 0.745 0.832 0.708
Br: 0.745 0.833 0.291

Summary:
The calculation puts the total energy at -49.5 eV per cell. For the density of states at the Fermi level, the calculation gives 16.4 states/eV/cell. The energy relative to the elements, uncorrected is -1782 meV per atom. Its symmetry is P-1, No. 2.

***

(5)
NaCaCeBr6: relaxed, PBE.

a = 7.453 Å, b = 7.453 Å, c = 13.320 Å
α = 90.00°, β = 90.00°, γ = 120.00°
Element x y z (fractional)
Na: 0.000 0.000 0.000
Na: 0.000 0.000 0.500
Ca: 0.333 0.667 0.250
Ca: 0.667 0.333 0.750
Ce: 0.333 0.667 0.750
Ce: 0.667 0.333 0.250
Br: 0.001 0.349 0.128
Br: 0.001 0.653 0.372
Br: 0.347 0.349 0.372
Br: 0.347 0.999 0.128
Br: 0.349 0.001 0.628
Br: 0.349 0.347 0.872
Br: 0.651 0.653 0.128
Br: 0.651 0.999 0.372
Br: 0.653 0.001 0.872
Br: 0.653 0.651 0.628
Br: 0.999 0.347 0.628
Br: 0.999 0.651 0.872

Summary:
The calculation puts the total energy at -71.4 eV per cell. For the density of states at the Fermi level, the calculation gives 16.6 states/eV/cell. The energy relative to the elements, uncorrected is -1823 meV per atom. Its symmetry is P-31c, No. 163.

***

(6)
RbCaCeBr6: relaxed, PBE.

a = 7.633 Å, b = 7.633 Å, c = 14.982 Å
α = 90.00°, β = 90.00°, γ = 120.00°
Element x y z (fractional)
Rb: 0.000 0.000 0.000
Rb: 0.000 0.000 0.500
Ca: 0.333 0.667 0.250
Ca: 0.667 0.333 0.750
Ce: 0.333 0.667 0.750
Ce: 0.667 0.333 0.250
Br: 0.001 0.374 0.139
Br: 0.001 0.627 0.361
Br: 0.373 0.374 0.361
Br: 0.373 0.999 0.139
Br: 0.374 0.001 0.639
Br: 0.374 0.373 0.861
Br: 0.626 0.627 0.139
Br: 0.626 0.999 0.361
Br: 0.627 0.001 0.861
Br: 0.627 0.626 0.639
Br: 0.999 0.373 0.639
Br: 0.999 0.626 0.861

Summary:
The calculation puts the total energy at -72.1 eV per cell. For the density of states at the Fermi level, the calculation gives 17.0 states/eV/cell. The energy relative to the elements, uncorrected is -1901 meV per atom. Its symmetry is P-31c, No. 163.